1.
# PBE-GGA Ca2YCr, relaxed
# E_tot (eV per atom): -4.518
# Total magnetic moment (μB per cell): 8.93
data_Ca2YCr
_symmetry_space_group_name_H-M 'C m m m'
_symmetry_Int_Tables_number 65
_symmetry_space_group_name_Hall '-C 2 2'
_cell_length_a 7.075
_cell_length_b 9.632
_cell_length_c 3.721
_cell_angle_alpha 90.00
_cell_angle_beta 90.00
_cell_angle_gamma 90.00
loop_
_atom_site_label
_atom_site_type_symbol
_atom_site_fract_x
_atom_site_fract_y
_atom_site_fract_z
Ca1 Ca 0.250 0.250 0.000
Y1 Y 0.000 0.000 0.500
Cr1 Cr 0.000 0.500 0.500

---

2.
# PBE-GGA Y2BiTe2, relaxed
# E_tot (eV per atom): -5.521
# Formation energy (no corrections) (eV per atom): -0.90
# Total magnetic moment (μB per cell): 0.00
data_Y2BiTe2
_symmetry_space_group_name_H-M 'C 1 2/c 1'
_symmetry_Int_Tables_number 15
_cell_length_a 10.761
_cell_length_b 11.753
_cell_length_c 5.971
_cell_angle_alpha 90.00
_cell_angle_beta 118.78
_cell_angle_gamma 90.00
loop_
_symmetry_equiv_pos_as_xyz
'x,y,z'
'-x,-y,-z'
'-x,y,-z+1/2'
'x,-y,z+1/2'
'x+1/2,y+1/2,z'
'-x+1/2,-y+1/2,-z'
'-x+1/2,y+1/2,-z+1/2'
'x+1/2,-y+1/2,z+1/2'
loop_
_atom_site_label
_atom_site_type_symbol
_atom_site_fract_x
_atom_site_fract_y
_atom_site_fract_z
Y1 Y 0.000 0.108 0.250
Y2 Y 0.000 0.337 0.750
Bi1 Bi 0.000 0.378 0.250
Te1 Te 0.182 0.110 0.879

---

Relative energy among the computed polymorphs per entry: 0.224 0.147 eV/atom